(1)
K2AcNp3O12 | PBE | optimized geometry

abc: 7.295 7.295 7.295
angles: 68.19 68.19 68.19
Fractional positions:
K1 0.120 0.120 0.120
K2 0.880 0.880 0.880
Ac1 0.500 0.500 0.500
Np1 0.000 0.500 0.500
Np2 0.500 0.000 0.500
Np3 0.500 0.500 0.000
O1 0.079 0.630 0.630
O2 0.239 0.239 0.596
O3 0.239 0.596 0.239
O4 0.370 0.370 0.921
O5 0.370 0.921 0.370
O6 0.404 0.761 0.761
O7 0.596 0.239 0.239
O8 0.630 0.079 0.630
O9 0.630 0.630 0.079
O10 0.761 0.404 0.761
O11 0.761 0.761 0.404
O12 0.921 0.370 0.370

Properties
- space group = R-3m
- formation energy from raw total energies (eV/atom) = -2.731

=====

(2)
SmHoZnIn | PBE | optimized geometry

abc: 3.666 3.666 7.509
angles: 90.00 90.00 90.00
Fractional positions:
Sm1 0.000 0.000 0.000
Ho1 0.000 0.000 0.461
Zn1 0.500 0.500 0.244
In1 0.500 0.500 0.722

Properties
- space group = P4mm
- E above lowest polymorph (eV per formula unit) = 0.00

=====

(3)
Nb2CoC | PBE | optimized geometry

abc: 6.798 6.798 6.798
angles: 26.40 26.40 26.40
Fractional positions:
Nb1 0.231 0.231 0.231
Nb2 0.769 0.769 0.769
Co1 0.000 0.000 0.000
C1 0.500 0.500 0.500

Properties
- space group = R-3m
- E_tot (eV/atom) = -9.293

=====

(4)
Y4Ga2C | PBE | optimized geometry

abc: 5.649 6.635 8.870
angles: 90.00 99.55 90.00
Fractional positions:
Y1 0.208 0.250 0.098
Y2 0.271 0.507 0.757
Y3 0.271 0.993 0.757
Y4 0.277 0.750 0.410
Y5 0.723 0.250 0.590
Y6 0.729 0.007 0.243
Y7 0.729 0.493 0.243
Y8 0.792 0.750 0.902
Ga1 0.180 0.250 0.440
Ga2 0.304 0.750 0.067
Ga3 0.696 0.250 0.933
Ga4 0.820 0.750 0.560
C1 0.489 0.250 0.339
C2 0.511 0.750 0.661

Properties
- space group = P2_1/m
- E above lowest polymorph (eV per formula unit) = 0.64

=====

(5)
Be2SiBr | PBE | optimized geometry

abc: 3.652 4.278 4.381
angles: 90.00 91.05 90.00
Fractional positions:
Be1 0.000 0.000 0.000
Be2 0.208 0.500 0.698
Si1 0.182 0.000 0.503
Br1 0.679 0.500 0.045

Properties
- space group = Pm
- formation energy from raw total energies (eV/atom) = 0.398
- E above lowest polymorph (eV per formula unit) = 0.43

=====

(6)
NpCuTe2 | PBE | optimized geometry

abc: 7.110 7.110 7.110
angles: 35.40 35.40 35.40
Fractional positions:
Np1 0.000 0.000 0.000
Cu1 0.500 0.500 0.500
Te1 0.241 0.241 0.241
Te2 0.759 0.759 0.759

Properties
- space group = R-3m
- formation energy from raw total energies (eV/atom) = -0.234

=====

(7)
La4CuRuBr2 | PBE | optimized geometry

abc: 7.268 4.226 8.290
angles: 90.00 107.08 90.00
Fractional positions:
La1 0.226 0.000 0.198
La2 0.251 0.500 0.802
La3 0.749 0.500 0.198
La4 0.774 0.000 0.802
Cu1 0.500 0.000 0.000
Ru1 0.000 0.500 0.000
Br1 0.000 0.000 0.500
Br2 0.500 0.500 0.500

Properties
- space group = P2/m
- formation energy from raw total energies (eV/atom) = -0.853

=====

(8)
CePr2Pb2 | PBE | optimized geometry

abc: 8.280 8.280 8.280
angles: 114.49 83.76 133.97
Fractional positions:
Ce1 0.250 0.250 0.000
Ce2 0.750 0.750 0.000
Pr1 0.142 0.641 0.783
Pr2 0.358 0.141 0.498
Pr3 0.642 0.859 0.502
Pr4 0.858 0.359 0.217
Pb1 0.118 0.277 0.395
Pb2 0.382 0.777 0.159
Pb3 0.618 0.223 0.841
Pb4 0.882 0.723 0.605

Properties
- space group = Ibam
- E above lowest polymorph (eV per formula unit) = 0.00

=====

Number 1: mass density 6.23 g cm⁻³, magnetization 2.000 μB per formula unit, density of states at the Fermi level 0.637 states/eV/atom. Number 2: mass density 8.15 g cm⁻³, magnetization 0.000 μB per formula unit, density of states at the Fermi level 0.834 states/eV/atom. Number 3: mass density 7.79 g cm⁻³, magnetization 1.148 μB per formula unit, density of states at the Fermi level 0.836 states/eV/atom. Number 4: mass density 5.14 g cm⁻³, magnetization 0.000 μB per formula unit, density of states at the Fermi level 0.393 states/eV/atom. Number 5: mass density 3.06 g cm⁻³, magnetization 0.000 μB per formula unit, density of states at the Fermi level 0.281 states/eV/atom. Number 6: mass density 8.56 g cm⁻³, magnetization 4.000 μB per formula unit, density of states at the Fermi level 2.453 states/eV/atom. Number 7: mass density 6.00 g cm⁻³, magnetization 0.000 μB per formula unit, density of states at the Fermi level 0.608 states/eV/atom. Number 8: mass density 7.77 g cm⁻³, magnetization 2.164 μB per formula unit, density of states at the Fermi level 1.654 states/eV/atom.